Below is a relaxed CaCdSb2 crystal, with properties calculated at the PBE-GGA level.

Lattice parameters (Å, degrees): 4.1507 4.1125 7.6956 56.89 90.00 90.00
Element x y z (fractional)
Sb  0.0000  0.4986  0.4984
Sb  0.0000  0.0014  0.0016
Ca  0.5000  0.2500  0.2500
Cd  0.5000  0.7500  0.7500

Calculated values
Crystal system = monoclinic
Size of the total moment = 0.0 μB/cell
DFT total energy = -3.14 eV per atom
DOS at the Fermi energy = 2.0 states/eV/f.u.

Below is a relaxed CaCd2Sb crystal, with properties calculated at the PBE-GGA level.

Lattice parameters (Å, degrees): 6.0642 6.0642 6.0642 136.52 136.60 63.12
Element x y z (fractional)
Cd  0.4999  0.4999  0.0000
Cd  0.0001  0.0001  0.0000
Sb  0.7500  0.2500  0.5000
Ca  0.2500  0.7500  0.5000

Calculated values
Crystal system = tetragonal
Size of the total moment = 0.0 μB/cell
DFT total energy = -2.36 eV per atom
DOS at the Fermi energy = 1.4 states/eV/f.u.